{"formula": "Lu3MgB", "functional": "PBE-GGA", "state": "relaxed", "total_energy_ev_per_atom": -4.413, "sg": "Pm-3m, No. 221", "magnetic_moment_mub_per_cell": 0.0, "dos_at_fermi_per_ev_cell": 7.6, "lattice": [[4.994, 0.000, 0.000], [0.000, 4.994, 0.000], [0.000, 0.000, 4.994]], "species": ["Lu", "Lu", "Lu", "Mg", "B"], "fractional_positions": [[0.000, 0.000, 0.500], [0.000, 0.500, 0.000], [0.500, 0.000, 0.000], [0.500, 0.500, 0.500], [0.000, 0.000, 0.000]]}